one | Nb2Ge2Pb: relaxed, PBE.

Cell lengths 7.4962, 7.4962, 3.4535 Å; angles 90.00, 90.00, 90.00 degrees
Element x y z (fractional)
Nb 0.1525 0.3475 0.0000
Nb 0.3475 0.8475 0.0000
Nb 0.6525 0.1525 0.0000
Nb 0.8475 0.6525 0.0000
Ge 0.1313 0.6313 0.5000
Ge 0.3687 0.1313 0.5000
Ge 0.6313 0.8687 0.5000
Ge 0.8687 0.3687 0.5000
Pb 0.0000 0.0000 0.5000
Pb 0.5000 0.5000 0.5000

Results
- magnetic moment (Bohr magnetons per cell) = 0.0
- crystal system = tetragonal

***

two | Nb2Ge2Pb: relaxed, PBE.

Cell lengths 7.4553, 7.4553, 3.4847 Å; angles 90.00, 90.00, 90.00 degrees
Element x y z (fractional)
Nb 0.1427 0.3573 0.0000
Nb 0.3573 0.8573 0.0000
Nb 0.6427 0.1427 0.0000
Nb 0.8573 0.6427 0.0000
Ge 0.1455 0.6455 0.5000
Ge 0.3545 0.1455 0.5000
Ge 0.6455 0.8545 0.5000
Ge 0.8545 0.3545 0.5000
Pb 0.0000 0.0000 0.0000
Pb 0.5000 0.5000 0.0000

Results
- magnetic moment (Bohr magnetons per cell) = 0.0
- crystal system = tetragonal

***

Least stable of them? one.

***

one | Nb3GePt: relaxed, PBE.

Cell lengths 4.6907, 4.6907, 4.6907 Å; angles 90.00, 90.00, 90.00 degrees
Element x y z (fractional)
Nb 0.0000 0.0000 0.5000
Nb 0.0000 0.5000 0.0000
Nb 0.5000 0.0000 0.0000
Ge 0.0000 0.0000 0.0000
Pt 0.5000 0.5000 0.5000

Results
- magnetic moment (Bohr magnetons per cell) = 0.0
- crystal system = cubic

***

two | Nb3GePt: relaxed, PBE.

Cell lengths 4.8964, 4.8964, 4.8964 Å; angles 90.00, 90.00, 90.00 degrees
Element x y z (fractional)
Nb 0.0000 0.0000 0.5000
Nb 0.0000 0.5000 0.0000
Nb 0.5000 0.0000 0.0000
Ge 0.5000 0.5000 0.5000
Pt 0.0000 0.0000 0.0000

Results
- magnetic moment (Bohr magnetons per cell) = 0.0
- crystal system = cubic

***

Least stable of them? two.

***

one | RbNbGe2: relaxed, PBE.

Cell lengths 8.9839, 8.9839, 8.9839 Å; angles 139.25, 139.25, 58.99 degrees
Element x y z (fractional)
Rb 0.3750 0.6250 0.7500
Rb 0.6250 0.3750 0.2500
Nb 0.1250 0.8750 0.2500
Nb 0.8750 0.1250 0.7500
Ge 0.0000 0.0000 0.0000
Ge 0.0000 0.0000 0.5000
Ge 0.0000 0.5000 0.0000
Ge 0.5000 0.0000 0.5000

Results
- magnetic moment (Bohr magnetons per cell) = 0.0
- crystal system = tetragonal

***

two | RbNbGe2: relaxed, PBE.

Cell lengths 5.0237, 5.0237, 5.0237 Å; angles 60.00, 60.00, 60.00 degrees
Element x y z (fractional)
Rb 0.0000 0.0000 0.0000
Nb 0.5000 0.5000 0.5000
Ge 0.2500 0.2500 0.2500
Ge 0.7500 0.7500 0.7500

Results
- magnetic moment (Bohr magnetons per cell) = 0.0
- crystal system = cubic

***

Least stable of them? two.

***

one | NbReGe: relaxed, PBE.

Cell lengths 4.4471, 4.4471, 2.8421 Å; angles 90.00, 90.00, 120.00 degrees
Element x y z (fractional)
Nb 0.0000 0.0000 0.0000
Re 0.6667 0.3333 0.5695
Ge 0.3333 0.6667 0.5398

Results
- magnetic moment (Bohr magnetons per cell) = 0.0
- crystal system = trigonal

***

two | NbReGe: relaxed, PBE.

Cell lengths 5.1860, 5.1860, 5.1860 Å; angles 144.02, 144.02, 51.79 degrees
Element x y z (fractional)
Nb 0.0000 0.0000 0.0000
Re 0.6697 0.6697 0.0000
Ge 0.3179 0.3179 0.0000

Results
- magnetic moment (Bohr magnetons per cell) = 0.0
- crystal system = tetragonal

***

three | NbReGe: relaxed, PBE.

Cell lengths 7.6932, 7.6932, 7.6932 Å; angles 124.63, 80.11, 127.13 degrees
Element x y z (fractional)
Nb 0.0021 0.2500 0.2521
Nb 0.4121 0.3792 0.5330
Nb 0.4229 0.8653 0.0576
Nb 0.8076 0.3653 0.9424
Nb 0.8462 0.8792 0.4670
Nb 0.9979 0.7500 0.7479
Re 0.1595 0.3281 0.9166
Re 0.1595 0.7429 0.3314
Re 0.4115 0.2429 0.0834
Re 0.4115 0.8281 0.6686
Re 0.6623 0.1623 0.5000
Re 0.6623 0.6623 0.0000
Ge 0.0826 0.4191 0.6723
Ge 0.0826 0.9103 0.1635
Ge 0.3664 0.1507 0.7157
Ge 0.4351 0.6507 0.2843
Ge 0.7468 0.4103 0.3277
Ge 0.7468 0.9191 0.8365

Results
- magnetic moment (Bohr magnetons per cell) = 0.0
- crystal system = orthorhombic

***

Least stable of them? two.

***

one | Nb2ReGe4: relaxed, PBE.

Cell lengths 7.6529, 7.6529, 5.6858 Å; angles 110.25, 110.25, 23.53 degrees
Element x y z (fractional)
Nb 0.2401 0.2401 0.2420
Nb 0.7599 0.7599 0.7580
Re 0.0000 0.0000 0.0000
Ge 0.1143 0.1143 0.7710
Ge 0.3969 0.3969 0.6664
Ge 0.6031 0.6031 0.3336
Ge 0.8857 0.8857 0.2290

Results
- magnetic moment (Bohr magnetons per cell) = 0.0
- crystal system = monoclinic

***

two | Nb2ReGe4: relaxed, PBE.

Cell lengths 7.3005, 7.3005, 7.3005 Å; angles 141.65, 141.65, 55.36 degrees
Element x y z (fractional)
Nb 0.1004 0.1004 0.0000
Nb 0.8996 0.8996 0.0000
Re 0.5000 0.5000 0.0000
Ge 0.0000 0.5000 0.5000
Ge 0.3042 0.3042 0.0000
Ge 0.5000 0.0000 0.5000
Ge 0.6958 0.6958 0.0000

Results
- magnetic moment (Bohr magnetons per cell) = 0.0
- crystal system = tetragonal

***

Least stable of them? two.

***

one | Nb2Re2Ge: relaxed, PBE.

Cell lengths 7.7394, 7.7394, 3.0142 Å; angles 90.00, 90.00, 90.00 degrees
Element x y z (fractional)
Nb 0.1502 0.3498 0.0000
Nb 0.3498 0.8498 0.0000
Nb 0.6502 0.1502 0.0000
Nb 0.8498 0.6502 0.0000
Re 0.1438 0.6438 0.5000
Re 0.3562 0.1438 0.5000
Re 0.6438 0.8562 0.5000
Re 0.8562 0.3562 0.5000
Ge 0.0000 0.0000 0.0000
Ge 0.5000 0.5000 0.0000

Results
- magnetic moment (Bohr magnetons per cell) = 0.0
- crystal system = tetragonal

***

two | Nb2Re2Ge: relaxed, PBE.

Cell lengths 7.9477, 7.9477, 7.9477 Å; angles 154.70, 154.70, 36.09 degrees
Element x y z (fractional)
Nb 0.0976 0.0976 0.0000
Nb 0.9024 0.9024 0.0000
Re 0.2500 0.7500 0.5000
Re 0.7500 0.2500 0.5000
Ge 0.5000 0.5000 0.0000

Results
- magnetic moment (Bohr magnetons per cell) = 0.0
- crystal system = tetragonal

***

Least stable of them? one.

***

one | NbGeRh3: relaxed, PBE.

Cell lengths 4.7364, 4.7364, 4.7364 Å; angles 90.00, 90.00, 90.00 degrees
Element x y z (fractional)
Nb 0.0000 0.0000 0.0000
Ge 0.5000 0.5000 0.5000
Rh 0.0000 0.0000 0.5000
Rh 0.0000 0.5000 0.0000
Rh 0.5000 0.0000 0.0000

Results
- magnetic moment (Bohr magnetons per cell) = 0.0
- crystal system = cubic

***

two | NbGeRh3: relaxed, PBE.

Cell lengths 7.4515, 5.1725, 8.6127 Å; angles 90.00, 113.08, 90.00 degrees
Element x y z (fractional)
Nb 0.2244 0.1584 0.0279
Nb 0.2244 0.3416 0.5279
Nb 0.7756 0.6584 0.4721
Nb 0.7756 0.8416 0.9721
Ge 0.3588 0.6777 0.8636
Ge 0.3588 0.8223 0.3636
Ge 0.6412 0.1777 0.6364
Ge 0.6412 0.3223 0.1364
Rh 0.0499 0.0599 0.2373
Rh 0.0499 0.4401 0.7373
Rh 0.1609 0.6571 0.0614
Rh 0.1609 0.8429 0.5614
Rh 0.4386 0.1580 0.8356
Rh 0.4386 0.3420 0.3356
Rh 0.5614 0.6580 0.6644
Rh 0.5614 0.8420 0.1644
Rh 0.8391 0.1571 0.4386
Rh 0.8391 0.3429 0.9386
Rh 0.9501 0.5599 0.2627
Rh 0.9501 0.9401 0.7627

Results
- magnetic moment (Bohr magnetons per cell) = 0.0
- crystal system = monoclinic

***

Least stable of them? one.

***

one | NbGeRu3: relaxed, PBE.

Cell lengths 4.4444, 4.4444, 4.4444 Å; angles 90.00, 90.00, 90.00 degrees
Element x y z (fractional)
Nb 0.0000 0.0000 0.0000
Ge 0.5000 0.5000 0.5000
Ru 0.0000 0.5000 0.5000
Ru 0.5000 0.0000 0.5000
Ru 0.5000 0.5000 0.0000

Results
- magnetic moment (Bohr magnetons per cell) = 0.0
- crystal system = cubic

***

two | NbGeRu3: relaxed, PBE.

Cell lengths 4.7101, 4.7101, 4.7101 Å; angles 90.00, 90.00, 90.00 degrees
Element x y z (fractional)
Nb 0.0000 0.0000 0.0000
Ge 0.5000 0.5000 0.5000
Ru 0.0000 0.0000 0.5000
Ru 0.0000 0.5000 0.0000
Ru 0.5000 0.0000 0.0000

Results
- magnetic moment (Bohr magnetons per cell) = 0.0
- crystal system = cubic

***

Least stable of them? two.

***

one | NbGe3S: relaxed, PBE.

Cell lengths 5.0418, 5.0418, 5.0418 Å; angles 90.00, 90.00, 90.00 degrees
Element x y z (fractional)
Nb 0.0000 0.0000 0.0000
Ge 0.0000 0.0000 0.5000
Ge 0.0000 0.5000 0.0000
Ge 0.5000 0.0000 0.0000
S 0.5000 0.5000 0.5000

Results
- magnetic moment (Bohr magnetons per cell) = 2.0
- crystal system = cubic

***

two | NbGe3S: relaxed, PBE.

Cell lengths 4.6791, 4.6791, 4.6791 Å; angles 90.00, 90.00, 90.00 degrees
Element x y z (fractional)
Nb 0.0000 0.0000 0.0000
Ge 0.0000 0.5000 0.5000
Ge 0.5000 0.0000 0.5000
Ge 0.5000 0.5000 0.0000
S 0.5000 0.5000 0.5000

Results
- magnetic moment (Bohr magnetons per cell) = 0.0
- crystal system = cubic

***

Least stable of them? two.

***

one | Nb2GeS: relaxed, PBE.

Cell lengths 4.4939, 4.4939, 4.4939 Å; angles 60.00, 60.00, 60.00 degrees
Element x y z (fractional)
Nb 0.2500 0.2500 0.2500
Nb 0.7500 0.7500 0.7500
Ge 0.0000 0.0000 0.0000
S 0.5000 0.5000 0.5000

Results
- magnetic moment (Bohr magnetons per cell) = 0.0
- crystal system = cubic

***

two | Nb2GeS: relaxed, PBE.

Cell lengths 7.1252, 7.1252, 7.1252 Å; angles 134.30, 134.30, 66.62 degrees
Element x y z (fractional)
Nb 0.0975 0.6250 0.9725
Nb 0.3750 0.3475 0.4725
Nb 0.6525 0.1250 0.0275
Nb 0.8750 0.9025 0.5275
Ge 0.2500 0.7500 0.5000
Ge 0.5000 0.5000 0.0000
S 0.0000 0.0000 0.0000
S 0.7500 0.2500 0.5000

Results
- magnetic moment (Bohr magnetons per cell) = 0.0
- crystal system = tetragonal

***

Least stable of them? two.

***

one | NbGeS3: relaxed, PBE.

Cell lengths 10.7075, 10.7075, 6.6602 Å; angles 90.00, 90.00, 159.96 degrees
Element x y z (fractional)
Nb 0.1172 0.8828 0.5000
Nb 0.8828 0.1172 0.0000
Ge 0.3407 0.6593 0.5635
Ge 0.6593 0.3407 0.0635
S 0.1120 0.8880 0.8537
S 0.2127 0.7873 0.3528
S 0.4302 0.5698 0.8271
S 0.5698 0.4302 0.3271
S 0.7873 0.2127 0.8528
S 0.8880 0.1120 0.3537

Results
- magnetic moment (Bohr magnetons per cell) = 0.0
- crystal system = orthorhombic

***

two | NbGeS3: relaxed, PBE.

Cell lengths 12.7300, 3.4380, 11.0583 Å; angles 90.00, 90.00, 90.00 degrees
Element x y z (fractional)
Nb 0.0380 0.2500 0.1165
Nb 0.4620 0.7500 0.6165
Nb 0.5380 0.2500 0.3835
Nb 0.9620 0.7500 0.8835
Ge 0.1243 0.7500 0.3732
Ge 0.3757 0.2500 0.8732
Ge 0.6243 0.7500 0.1268
Ge 0.8757 0.2500 0.6268
S 0.0042 0.7500 0.6560
S 0.1029 0.2500 0.9076
S 0.1762 0.7500 0.1626
S 0.3238 0.2500 0.6626
S 0.3971 0.7500 0.4076
S 0.4958 0.2500 0.1560
S 0.5042 0.7500 0.8440
S 0.6029 0.2500 0.5924
S 0.6762 0.7500 0.3374
S 0.8238 0.2500 0.8374
S 0.8971 0.7500 0.0924
S 0.9958 0.2500 0.3440

Results
- magnetic moment (Bohr magnetons per cell) = 0.0
- crystal system = orthorhombic

***

three | NbGeS3: relaxed, PBE.

Cell lengths 4.6098, 4.6098, 4.6098 Å; angles 90.00, 90.00, 90.00 degrees
Element x y z (fractional)
Nb 0.0000 0.0000 0.0000
Ge 0.5000 0.5000 0.5000
S 0.0000 0.5000 0.5000
S 0.5000 0.0000 0.5000
S 0.5000 0.5000 0.0000

Results
- magnetic moment (Bohr magnetons per cell) = 2.1
- crystal system = cubic

***

four | NbGeS3: relaxed, PBE.

Cell lengths 4.8130, 4.8130, 4.8130 Å; angles 90.00, 90.00, 90.00 degrees
Element x y z (fractional)
Nb 0.0000 0.0000 0.0000
Ge 0.5000 0.5000 0.5000
S 0.0000 0.0000 0.5000
S 0.0000 0.5000 0.0000
S 0.5000 0.0000 0.0000

Results
- magnetic moment (Bohr magnetons per cell) = 0.0
- crystal system = cubic

***

Least stable of them? three.